This record from Alexandria describes crystalline PrDy2Cu3 at its relaxed geometry. The functional is PBE.

V ... 130.3 Å³ per cell
Total moment ... 0.00 μB/cell
Calculated formation energy ... -122 kJ/mol of formula units

Lattice parameters (Å, degrees): 3.5015 3.5015 10.6298 90.00 90.00 90.00
Atoms (fractional coordinates):
Cu (0.0000, 0.0000, 0.0000)
Dy (0.5000, 0.5000, 0.1618)
Cu (0.0000, 0.0000, 0.6843)
Dy (0.5000, 0.5000, 0.8382)
Cu (0.0000, 0.0000, 0.3157)
Pr (0.5000, 0.5000, 0.5000)